# 1
Here is a geometry-optimized Tb3Dy2In structure from Alexandria via LeMat-Bulk. Energies are from PBE.

Total moment   0.00 μB per atom
D(E_F)   1.30 states/eV/atom
Distance to the lowest polymorph of the same formula   63 meV/atom
E_form   -0.0971 eV/atom

a b c (Å): 6.1867 6.9600 9.1650
angles (deg): 90.00 109.73 90.00
Closest atoms and distances in Å follow each position.
Fractional coordinates of all 12 atoms:
Tb 0.6829 0.2500 0.0000  2 In 3.02-3.17
Tb 0.3171 0.7500 0.0000  2 In 3.02-3.17
Tb 0.1395 0.0000 0.2792  2 In 3.21, 4 Tb 3.48-3.56, 4 Dy 3.50-3.54
Tb 0.8604 0.5000 0.7208  2 In 3.21, 4 Tb 3.48-3.56, 4 Dy 3.50-3.54
Tb 0.1396 0.5000 0.2792  2 In 3.21, 4 Tb 3.48-3.56, 4 Dy 3.50-3.54
Tb 0.8605 0.0000 0.7208  2 In 3.21, 4 Tb 3.48-3.56, 4 Dy 3.50-3.54
Dy 0.7024 0.7500 0.3687  7 Tb 3.42-3.73, 2 Dy 3.49, 1 In 3.64
Dy 0.6663 0.2500 0.3687  7 Tb 3.42-3.73, 2 Dy 3.49, 1 In 3.64
Dy 0.3337 0.7500 0.6313  7 Tb 3.42-3.73, 2 Dy 3.49, 1 In 3.64
Dy 0.2976 0.2500 0.6313  7 Tb 3.42-3.73, 2 Dy 3.49, 1 In 3.64
In 0.8051 0.7500 0.0000  6 Tb 3.02-3.21
In 0.1949 0.2500 0.0000  6 Tb 3.02-3.21

# 2
Here is a geometry-optimized BeVSiGe2 structure from Alexandria via LeMat-Bulk. Energies are from PBE.

Total moment   0.00 μB per atom
Energy relative to the elements, uncorrected   4.40 eV/f.u.
D(E_F)   0.51 states/eV/atom

a b c (Å): 4.6909 4.3688 4.6909
angles (deg): 90.00 90.00 90.00
Closest atoms and distances in Å follow each position.
Fractional coordinates of all 5 atoms:
Be 0.0000 0.5000 0.0000  2 V 2.18
Ge 0.0000 0.0000 0.5000  2 V 2.35
Ge 0.5000 0.0000 0.0000  2 V 2.35
Si 0.5000 0.5000 0.5000  8 Ge 3.21, 4 Be 3.32
V 0.0000 0.0000 0.0000  2 Be 2.18, 4 Ge 2.35

# 3
Here is a geometry-optimized Ca2PmGa6 structure from Alexandria via LeMat-Bulk. Energies are from PBE.

Total moment   0.00 μB per atom
D(E_F)   0.37 states/eV/atom
Distance to the lowest polymorph of the same formula   171 meV/atom
E_form   -0.3737 eV/atom

a b c (Å): 4.2966 7.8589 7.8589
angles (deg): 56.03 74.14 74.14
Closest atoms and distances in Å follow each position.
Fractional coordinates of all 9 atoms:
Ca 0.3728 0.1272 0.1272  6 Ga 2.87-3.05
Ca 0.6272 0.8728 0.8728  6 Ga 2.87-3.05
Pm 0.5000 0.5000 0.5000  12 Ga 3.16-3.49
Ga 0.1812 0.5038 0.1339  2 Ga 2.57-2.73, 1 Ca 2.87
Ga 0.8188 0.4962 0.8661  2 Ga 2.57-2.73, 1 Ca 2.87
Ga 0.8188 0.8661 0.4962  2 Ga 2.57-2.73, 1 Ca 2.87
Ga 0.0000 0.1857 0.8143  3 Ga 2.57-2.74
Ga 0.0000 0.8143 0.1857  3 Ga 2.57-2.74
Ga 0.1812 0.1339 0.5038  2 Ga 2.57-2.73, 1 Ca 2.87

# 4
Here is a geometry-optimized CoNi2PdW structure from Alexandria via LeMat-Bulk. Energies are from PBE.

Total moment   0.43 μB per atom
D(E_F)   1.38 states/eV/atom
E_form   1.1171 eV/atom

a b c (Å): 4.2627 4.3250 4.2627
angles (deg): 90.00 90.00 90.00
Closest atoms and distances in Å follow each position.
Fractional coordinates of all 5 atoms:
Ni 0.0000 0.0000 0.5000  2 Co 2.13
Ni 0.5000 0.0000 0.0000  2 Co 2.13
Co 0.0000 0.0000 0.0000  4 Ni 2.13, 2 W 2.16
Pd 0.5000 0.5000 0.5000  4 W 3.01, 8 Ni 3.04
W 0.0000 0.5000 0.0000  2 Co 2.16

# 5
Here is a geometry-optimized Er5Pd2 structure from Alexandria via LeMat-Bulk. Energies are from PBE.

Total moment   0.00 μB per atom
D(E_F)   1.31 states/eV/atom
E_form   -0.5455 eV/atom

a b c (Å): 6.5037 6.9946 8.7884
angles (deg): 96.03 111.72 90.00
Closest atoms and distances in Å follow each position.
Fractional coordinates of all 14 atoms:
Er 0.2108 0.4296 0.1904  2 Pd 2.83-2.84
Er 0.0204 0.0704 0.8096  2 Pd 2.83-2.84
Er 0.2131 0.6920 0.5584  3 Pd 2.84-3.16
Er 0.6547 0.8080 0.4416  3 Pd 2.84-3.16
Er 0.7869 0.3080 0.4416  3 Pd 2.84-3.16
Er 0.3453 0.1920 0.5584  3 Pd 2.84-3.16
Er 0.9796 0.9296 0.1904  2 Pd 2.83-2.84
Er 0.7892 0.5704 0.8096  2 Pd 2.83-2.84
Er 0.5670 0.2500 0.0000  4 Pd 2.84-2.93
Er 0.4330 0.7500 0.0000  4 Pd 2.84-2.93
Pd 0.1843 0.4329 0.7785  7 Er 2.83-3.16
Pd 0.4058 0.0671 0.2215  7 Er 2.83-3.16
Pd 0.8157 0.5671 0.2215  7 Er 2.83-3.16
Pd 0.5942 0.9329 0.7785  7 Er 2.83-3.16

# 6
Here is a geometry-optimized K5Cr structure from Alexandria via LeMat-Bulk. Energies are from PBE.

Total moment   0.89 μB per atom
D(E_F)   0.60 states/eV/atom
Distance to the lowest polymorph of the same formula   0 meV/atom
E_form   0.4273 eV/atom

a b c (Å): 8.0382 8.0382 10.2995
angles (deg): 70.74 70.74 34.50
Closest atoms and distances in Å follow each position.
Fractional coordinates of all 6 atoms:
K 0.6885 0.6885 0.6579  2 Cr 3.95, 2 K 4.20-4.26
K 0.3659 0.3659 0.2325  2 Cr 3.92, 2 K 4.22-4.31
K 0.3929 0.3929 0.8108  2 Cr 3.73
K 0.0277 0.0277 0.4420  10 K 4.34-4.77
K 0.6649 0.6649 0.0761  2 Cr 3.73
Cr 0.0267 0.0267 0.9474  8 K 3.73-3.95

# 7
Here is a geometry-optimized YV2GaHg structure from Alexandria via LeMat-Bulk. Energies are from PBE.

Total moment   1.00 μB per atom
D(E_F)   1.93 states/eV/atom
Distance to the lowest polymorph of the same formula   0 meV/atom
E_form   0.6797 eV/atom

a b c (Å): 4.8093 4.9325 4.8093
angles (deg): 90.00 90.00 90.00
Closest atoms and distances in Å follow each position.
Fractional coordinates of all 5 atoms:
Y 0.5000 0.5000 0.5000  4 Hg 3.40, 8 V 3.44
Hg 0.0000 0.5000 0.0000  2 Ga 2.47
Ga 0.0000 0.0000 0.0000  4 V 2.40, 2 Hg 2.47
V 0.0000 0.0000 0.5000  2 Ga 2.40
V 0.5000 0.0000 0.0000  2 Ga 2.40

# 8
Here is a geometry-optimized PmAg3F7 structure from Alexandria via LeMat-Bulk. Energies are from PBE.

Total moment   0.10 μB per atom
Energy relative to the elements, uncorrected   -23.37 eV/f.u.
D(E_F)   0.56 states/eV/atom

a b c (Å): 5.7266 5.7266 6.6628
angles (deg): 66.63 66.63 86.88
Closest atoms and distances in Å follow each position.
Fractional coordinates of all 11 atoms:
Pm 0.9533 0.9533 0.0335  7 F 2.27-2.40
Ag 0.7722 0.2390 0.5002  4 F 2.24-2.43
Ag 0.5043 0.5043 0.9912  4 F 2.27-2.50
Ag 0.2390 0.7722 0.5002  4 F 2.24-2.43
F 0.1948 0.1948 0.0967  1 Pm 2.27, 1 Ag 2.27
F 0.6519 0.1421 0.2580  2 Ag 2.24-2.50, 1 Pm 2.33
F 0.8832 0.3215 0.7572  1 Ag 2.26, 1 Pm 2.33
F 0.1421 0.6519 0.2580  2 Ag 2.24-2.50, 1 Pm 2.33
F 0.6276 0.6276 0.3217  1 Pm 2.31, 2 Ag 2.35
F 0.3215 0.8832 0.7572  1 Ag 2.26, 1 Pm 2.33
F 0.8351 0.8351 0.7760  3 Ag 2.31-2.43, 1 Pm 2.40

# 9
Here is a geometry-optimized Li2ThTlBr8 structure from Alexandria via LeMat-Bulk. Energies are from PBE.

Total moment   0.02 μB per atom
Energy relative to the elements, uncorrected   -15.66 eV/f.u.
D(E_F)   0.13 states/eV/atom

a b c (Å): 7.0095 6.0923 9.4583
angles (deg): 89.88 89.94 89.85
Closest atoms and distances in Å follow each position.
Fractional coordinates of all 12 atoms:
Li 0.4997 0.4989 0.7665  6 Br 2.76-2.94
Li 0.5003 0.5011 0.2335  6 Br 2.76-2.94
Th 0.0000 0.0000 0.0000  6 Br 2.84-2.86
Tl 0.0000 0.0000 0.5000  6 Br 3.30-3.62
Br 0.1658 0.7414 0.2187  1 Li 2.76, 1 Th 2.84
Br 0.6611 0.7398 0.0001  1 Th 2.86, 2 Li 2.87-2.89
Br 0.8335 0.2575 0.2183  1 Li 2.77, 1 Th 2.84
Br 0.8342 0.2586 0.7813  1 Li 2.76, 1 Th 2.84
Br 0.3389 0.2602 0.9999  1 Th 2.86, 2 Li 2.87-2.89
Br 0.1665 0.7425 0.7817  1 Li 2.77, 1 Th 2.84
Br 0.5339 0.7451 0.4999  2 Li 2.94, 2 Br 3.02-3.14
Br 0.4661 0.2549 0.5001  2 Li 2.94, 2 Br 3.02-3.14

# 10
Here is a geometry-optimized TmVSi2 structure from Alexandria via LeMat-Bulk. Energies are from PBE.

Total moment   0.29 μB per atom
Energy relative to the elements, uncorrected   -1.55 eV/f.u.
D(E_F)   0.70 states/eV/atom

a b c (Å): 4.0945 4.0945 5.4267
angles (deg): 67.84 67.84 60.00
Closest atoms and distances in Å follow each position.
Fractional coordinates of all 4 atoms:
Si 0.7208 0.7208 0.8376  3 V 2.49
Si 0.2792 0.2792 0.1624  3 V 2.49
Tm 0.5000 0.5000 0.5000  6 Si 2.88
V 0.0000 0.0000 0.0000  6 Si 2.49

# 11
Here is a geometry-optimized Tm2Cd2Hg structure from Alexandria via LeMat-Bulk. Energies are from PBE.

Total moment   0.00 μB per atom
D(E_F)   0.86 states/eV/atom
Distance to the lowest polymorph of the same formula   0 meV/atom
E_form   -0.2666 eV/atom

a b c (Å): 3.3989 4.6944 7.9866
angles (deg): 72.91 90.00 90.00
Closest atoms and distances in Å follow each position.
Fractional coordinates of all 5 atoms:
Tm 0.5000 0.3898 0.2205  6 Cd 3.20-3.36, 4 Hg 3.35, 3 Tm 3.37-3.40
Tm 0.5000 0.6102 0.7795  6 Cd 3.20-3.36, 4 Hg 3.35, 3 Tm 3.37-3.40
Cd 0.0000 0.1996 0.6008  2 Cd 2.81, 1 Hg 3.05
Cd 0.0000 0.8004 0.3992  2 Cd 2.81, 1 Hg 3.05
Hg 0.0000 0.0000 0.0000  2 Cd 3.05, 8 Tm 3.35, 2 Hg 3.40

# 12
Here is a geometry-optimized Pm2YN structure from Alexandria via LeMat-Bulk. Energies are from PBE.

Total moment   0.00 μB per atom
Energy relative to the elements, uncorrected   -2.30 eV/f.u.
D(E_F)   1.10 states/eV/atom

a b c (Å): 3.5614 3.5614 9.8384
angles (deg): 79.57 79.57 60.00
Closest atoms and distances in Å follow each position.
Fractional coordinates of all 4 atoms:
Y 0.0000 0.0000 0.0000  2 Pm 3.44, 6 Y 3.56
N 0.5000 0.5000 0.5000  6 Pm 2.47
Pm 0.1193 0.1193 0.6421  3 N 2.47
Pm 0.8807 0.8807 0.3579  3 N 2.47

# 13
Here is a geometry-optimized CeCd3Pt8 structure from Alexandria via LeMat-Bulk. Energies are from PBE.

Total moment   0.00 μB per atom
D(E_F)   0.79 states/eV/atom
Distance to the lowest polymorph of the same formula   0 meV/atom
E_form   -0.5039 eV/atom

a b c (Å): 5.3988 5.3988 9.3198
angles (deg): 73.16 73.16 60.00
Closest atoms and distances in Å follow each position.
Fractional coordinates of all 12 atoms:
Ce 0.8762 0.8762 0.3713  12 Pt 3.15-3.17, 4 Cd 3.41
Cd 0.3711 0.3711 0.8866  12 Pt 3.06-3.23, 4 Cd 3.13-3.23
Cd 0.0056 0.0056 0.9833  12 Pt 3.05-3.23, 3 Cd 3.23, 1 Ce 3.41
Cd 0.4901 0.4901 0.5298  9 Pt 3.02-3.23, 1 Cd 3.13
Pt 0.9364 0.4390 0.1856  6 Pt 2.69-2.71
Pt 0.4382 0.9389 0.6841  6 Pt 2.69-2.70
Pt 0.4390 0.4390 0.1856  6 Pt 2.69-2.71
Pt 0.9389 0.9389 0.6841  6 Pt 2.69-2.70
Pt 0.1885 0.1885 0.4346  6 Pt 2.69
Pt 0.6882 0.6882 0.9353  6 Pt 2.69-2.70
Pt 0.4390 0.9364 0.1856  6 Pt 2.69-2.71
Pt 0.9389 0.4382 0.6841  6 Pt 2.69-2.70